[1]
MgRh2N, relaxed, DFT PBE-GGA; M_tot = 0.77 μB/f.u.; space group = Fm-3m (225); theoretical density = 7.9 Mg/m³; V = 52 Å³/cell; uncorrected formation energy = 874 meV per atom; uncorrected energy = -5.282 eV/atom; energy relative to the lowest polymorph listed for this composition = 945 meV per atom
1.0
0.000 2.953 2.953
2.953 0.000 2.953
2.953 2.953 0.000
Mg Rh N
1 2 1
Direct
0.000 0.000 0.000 Mg
0.250 0.250 0.250 Rh
0.750 0.750 0.750 Rh
0.500 0.500 0.500 N



[2]
SrIO2F, relaxed, DFT PBE-GGA; M_tot = 0.11 μB/f.u.; space group = P4/mmm (123); theoretical density = 4.1 Mg/m³; V = 108 Å³/cell; uncorrected formation energy = -733 meV per atom; uncorrected energy = -3.737 eV/atom
1.0
4.895 0.000 0.000
0.000 4.895 0.000
0.000 0.000 4.525
Sr I O F
1 1 2 1
Direct
0.000 0.000 0.000 Sr
0.500 0.500 0.500 I
0.000 0.500 0.000 O
0.500 0.000 0.000 O
0.000 0.000 0.500 F



[3]
Ac2YTl2, relaxed, DFT PBE-GGA; energy of formation from the pure elements = -0.31 eV/atom; M_tot = 0.00 μB/f.u.; space group = P4/mnc (128); theoretical density = 8.9 Mg/m³; V = 709 Å³/cell; uncorrected energy = -4.195 eV/atom; energy relative to the lowest polymorph listed for this composition = 0 meV per atom
1.0
8.429 0.000 0.000
0.000 8.429 0.000
0.000 0.000 9.978
Ac Y Tl
8 4 8
Direct
0.169 0.330 0.000 Ac
0.170 0.331 0.500 Ac
0.330 0.831 0.000 Ac
0.331 0.830 0.500 Ac
0.669 0.170 0.500 Ac
0.670 0.169 0.000 Ac
0.830 0.669 0.500 Ac
0.831 0.670 0.000 Ac
0.000 0.000 0.251 Y
0.000 0.000 0.749 Y
0.500 0.500 0.249 Y
0.500 0.500 0.751 Y
0.132 0.632 0.250 Tl
0.132 0.632 0.750 Tl
0.368 0.132 0.250 Tl
0.368 0.132 0.750 Tl
0.632 0.868 0.250 Tl
0.632 0.868 0.750 Tl
0.868 0.368 0.250 Tl
0.868 0.368 0.750 Tl



[4]
La2CuSn3Ir4, relaxed, DFT PBE-GGA; energy of formation from the pure elements = -0.51 eV/atom; M_tot = 0.00 μB/f.u.; space group = P-4m2 (115); theoretical density = 11.4 Mg/m³; V = 214 Å³/cell; uncorrected energy = -6.649 eV/atom
1.0
4.354 0.000 0.000
0.000 4.354 0.000
0.000 0.000 11.281
La Cu Sn Ir
2 1 3 4
Direct
0.000 0.500 0.240 La
0.500 0.000 0.760 La
0.500 0.500 0.000 Cu
0.000 0.000 0.000 Sn
0.000 0.500 0.631 Sn
0.500 0.000 0.369 Sn
0.000 0.000 0.500 Ir
0.000 0.500 0.864 Ir
0.500 0.000 0.136 Ir
0.500 0.500 0.500 Ir



[5]
As2OsPt, relaxed, DFT PBE-GGA; energy of formation from the pure elements = 0.31 eV/atom; M_tot = 0.00 μB/f.u.; space group = Imm2 (44); theoretical density = 13.4 Mg/m³; V = 66 Å³/cell; uncorrected energy = -6.336 eV/atom; energy relative to the lowest polymorph listed for this composition = 210 meV per atom
1.0
-1.463 2.247 5.048
1.463 -2.247 5.048
1.463 2.247 -5.048
As Os Pt
2 1 1
Direct
0.000 0.000 0.000 As
0.695 0.195 0.500 As
0.209 0.709 0.500 Os
0.452 0.452 0.000 Pt



[6]
V2ReAu, relaxed, DFT PBE-GGA; energy of formation from the pure elements = 0.09 eV/atom; M_tot = 0.88 μB/f.u.; space group = Fm-3m (225); theoretical density = 13.5 Mg/m³; V = 60 Å³/cell; uncorrected energy = -8.402 eV/atom; energy relative to the lowest polymorph listed for this composition = 154 meV per atom
1.0
0.000 3.102 3.102
3.102 0.000 3.102
3.102 3.102 0.000
V Re Au
2 1 1
Direct
0.250 0.250 0.250 V
0.750 0.750 0.750 V
0.000 0.000 0.000 Re
0.500 0.500 0.500 Au



[7]
LaZrPd3, relaxed, DFT PBE-GGA; energy of formation from the pure elements = 0.60 eV/atom; M_tot = 0.00 μB/f.u.; space group = Pm-3m (221); theoretical density = 7.0 Mg/m³; V = 131 Å³/cell; uncorrected energy = -5.216 eV/atom; energy relative to the lowest polymorph listed for this composition = 756 meV per atom
1.0
5.080 0.000 0.000
0.000 5.080 0.000
0.000 0.000 5.080
La Zr Pd
1 1 3
Direct
0.000 0.000 0.000 La
0.500 0.500 0.500 Zr
0.000 0.000 0.500 Pd
0.000 0.500 0.000 Pd
0.500 0.000 0.000 Pd



[8]
Ti4GaCo2Si, relaxed, DFT PBE-GGA; M_tot = 5.01 μB/f.u.; space group = R3m (160); theoretical density = 6.1 Mg/m³; V = 112 Å³/cell; uncorrected formation energy = -315 meV per atom; uncorrected energy = -7.095 eV/atom
1.0
2.146 1.239 6.999
-2.146 1.239 6.999
0.000 -2.478 6.999
Ti Ga Co Si
4 1 2 1
Direct
0.000 0.000 0.000 Ti
0.124 0.124 0.124 Ti
0.498 0.498 0.498 Ti
0.625 0.625 0.625 Ti
0.875 0.875 0.875 Ga
0.253 0.253 0.253 Co
0.747 0.747 0.747 Co
0.374 0.374 0.374 Si



[9]
Ac8Ru3Br4Cl, relaxed, DFT PBE-GGA; M_tot = 0.00 μB/f.u.; space group = C2/m (12); theoretical density = 7.5 Mg/m³; V = 550 Å³/cell; uncorrected formation energy = -974 meV per atom; uncorrected energy = -5.301 eV/atom
1.0
7.609 -4.393 0.000
7.609 4.393 0.000
-5.078 0.000 8.230
Ac Ru Br Cl
8 3 4 1
Direct
0.208 0.744 0.696 Ac
0.233 0.233 0.698 Ac
0.256 0.256 0.304 Ac
0.256 0.792 0.304 Ac
0.744 0.208 0.696 Ac
0.744 0.744 0.696 Ac
0.767 0.767 0.302 Ac
0.792 0.256 0.304 Ac
0.000 0.000 0.500 Ru
0.000 0.500 0.500 Ru
0.500 0.000 0.500 Ru
0.000 0.000 0.000 Br
0.000 0.500 0.000 Br
0.500 0.000 0.000 Br
0.500 0.500 0.000 Br
0.500 0.500 0.500 Cl



[10]
CsRe3Tc, relaxed, DFT PBE-GGA; energy of formation from the pure elements = 4.36 eV/atom; M_tot = 0.00 μB/f.u.; space group = Pm-3m (221); theoretical density = 11.9 Mg/m³; V = 110 Å³/cell; uncorrected energy = -5.350 eV/atom; energy relative to the lowest polymorph listed for this composition = 2047 meV per atom
1.0
4.788 0.000 0.000
0.000 4.788 0.000
0.000 0.000 4.788
Cs Re Tc
1 3 1
Direct
0.000 0.000 0.000 Cs
0.000 0.000 0.500 Re
0.000 0.500 0.000 Re
0.500 0.000 0.000 Re
0.500 0.500 0.500 Tc



[11]
Pr2HoPuAs4, relaxed, DFT PBE-GGA; energy of formation from the pure elements = -1.37 eV/atom; M_tot = 4.93 μB/f.u.; space group = P2/m (10); theoretical density = 7.8 Mg/m³; V = 211 Å³/cell; uncorrected energy = -7.254 eV/atom
1.0
7.283 0.000 0.000
0.000 4.220 0.000
-2.427 0.000 6.873
Pr Ho Pu As
2 1 1 4
Direct
0.000 0.000 0.000 Pr
0.500 0.500 0.000 Pr
0.000 0.500 0.500 Ho
0.500 0.000 0.500 Pu
0.246 0.000 0.737 As
0.255 0.500 0.264 As
0.745 0.500 0.736 As
0.754 0.000 0.263 As



[12]
VTcRuPb2, relaxed, DFT PBE-GGA; energy of formation from the pure elements = 1.41 eV/atom; M_tot = 3.24 μB/f.u.; space group = P4/mmm (123); theoretical density = 8.8 Mg/m³; V = 125 Å³/cell; uncorrected energy = -5.822 eV/atom
1.0
5.341 0.000 0.000
0.000 5.341 0.000
0.000 0.000 4.378
V Tc Ru Pb
1 1 1 2
Direct
0.000 0.000 0.000 V
0.000 0.000 0.500 Tc
0.500 0.500 0.500 Ru
0.000 0.500 0.000 Pb
0.500 0.000 0.000 Pb



[13]
Tb15Pm4Tm, relaxed, DFT PBE-GGA; energy of formation from the pure elements = 0.02 eV/atom; M_tot = 0.00 μB/f.u.; space group = P4/mmm (123); theoretical density = 8.0 Mg/m³; V = 646 Å³/cell; uncorrected energy = -4.629 eV/atom
1.0
5.059 0.000 0.000
0.000 5.059 0.000
0.000 0.000 25.259
Tb Pm Tm
15 4 1
Direct
0.000 0.000 0.000 Tb
0.000 0.000 0.199 Tb
0.000 0.000 0.400 Tb
0.000 0.000 0.600 Tb
0.000 0.000 0.801 Tb
0.000 0.500 0.098 Tb
0.000 0.500 0.299 Tb
0.000 0.500 0.500 Tb
0.000 0.500 0.701 Tb
0.000 0.500 0.902 Tb
0.500 0.000 0.098 Tb
0.500 0.000 0.299 Tb
0.500 0.000 0.500 Tb
0.500 0.000 0.701 Tb
0.500 0.000 0.902 Tb
0.500 0.500 0.199 Pm
0.500 0.500 0.400 Pm
0.500 0.500 0.600 Pm
0.500 0.500 0.801 Pm
0.500 0.500 0.000 Tm



[14]
Pa2BeNi, relaxed, DFT PBE-GGA; energy of formation from the pure elements = 0.45 eV/atom; M_tot = 0.00 μB/f.u.; space group = R-3m (166); theoretical density = 11.8 Mg/m³; V = 75 Å³/cell; uncorrected energy = -6.671 eV/atom
1.0
1.507 0.870 9.510
-1.507 0.870 9.510
0.000 -1.740 9.510
Pa Be Ni
2 1 1
Direct
0.088 0.088 0.088 Pa
0.912 0.912 0.912 Pa
0.500 0.500 0.500 Be
0.000 0.000 0.000 Ni



[15]
NaTl2OsCl6, relaxed, DFT PBE-GGA; M_tot = 1.02 μB/f.u.; space group = Pmmn (59); theoretical density = 5.2 Mg/m³; V = 530 Å³/cell; uncorrected formation energy = -854 meV per atom; uncorrected energy = -3.690 eV/atom
1.0
7.201 0.000 0.000
0.000 10.196 0.000
0.000 0.000 7.221
Na Tl Os Cl
2 4 2 12
Direct
0.250 0.250 0.247 Na
0.750 0.750 0.753 Na
0.250 0.002 0.748 Tl
0.250 0.498 0.748 Tl
0.750 0.502 0.252 Tl
0.750 0.998 0.252 Tl
0.250 0.750 0.252 Os
0.750 0.250 0.748 Os
0.017 0.750 0.021 Cl
0.017 0.750 0.484 Cl
0.250 0.518 0.253 Cl
0.250 0.982 0.253 Cl
0.483 0.750 0.021 Cl
0.483 0.750 0.484 Cl
0.517 0.250 0.516 Cl
0.517 0.250 0.979 Cl
0.750 0.018 0.747 Cl
0.750 0.482 0.747 Cl
0.983 0.250 0.516 Cl
0.983 0.250 0.979 Cl



[16]
YMgRe4, relaxed, DFT PBE-GGA; energy of formation from the pure elements = -0.01 eV/atom; M_tot = 0.00 μB/f.u.; space group = F-43m (216); theoretical density = 13.2 Mg/m³; V = 108 Å³/cell; uncorrected energy = -9.652 eV/atom
1.0
0.000 3.778 3.778
3.778 0.000 3.778
3.778 3.778 0.000
Y Mg Re
1 1 4
Direct
0.000 0.000 0.000 Y
0.750 0.750 0.750 Mg
0.375 0.375 0.375 Re
0.375 0.375 0.874 Re
0.375 0.874 0.375 Re
0.874 0.375 0.375 Re



[17]
YNbHg3, relaxed, DFT PBE-GGA; energy of formation from the pure elements = 1.37 eV/atom; M_tot = 0.00 μB/f.u.; space group = Pm-3m (221); theoretical density = 7.9 Mg/m³; V = 164 Å³/cell; uncorrected energy = -2.114 eV/atom; energy relative to the lowest polymorph listed for this composition = 825 meV per atom
1.0
5.471 0.000 0.000
0.000 5.471 0.000
0.000 0.000 5.471
Y Nb Hg
1 1 3
Direct
0.000 0.000 0.000 Y
0.500 0.500 0.500 Nb
0.000 0.000 0.500 Hg
0.000 0.500 0.000 Hg
0.500 0.000 0.000 Hg